Here is a geometry-optimized AcSbRuS structure from the Alexandria database. Energies are from PBE.

## Properties
- Energy relative to the elements, uncorrected: -1018 meV/atom
- VASP energy: -6.43 eV per atom
- Total magnetization: 0.00 μB/cell

abc: 4.687 4.687 9.237
angles: 90.00 90.00 90.00
Space group P4/nmm (No. 129, origin choice 2)
Inequivalent atoms, fractional coordinates:
Ac (0.250, 0.250, 0.179) [2 per cell]
Sb (0.250, 0.250, 0.636) [2 per cell]
Ru (0.250, 0.750, 0.500) [2 per cell]
S (0.250, 0.750, 0.000) [2 per cell]